NaPaCo: optimized geometry, PBE.

Lattice parameters (Å, degrees): 6.3560 6.3560 6.3560 90.00 90.00 90.00
Closest atoms and distances in Å follow each position.
Space group F-43m (No. 216)
One atom of each set of equivalent atoms:
Na (0.0000, 0.0000, 0.0000)  4 Co 2.75
Pa (0.0000, 0.0000, 0.5000)  4 Co 2.75
Co (0.2500, 0.2500, 0.2500)  4 Pa 2.75, 4 Na 2.75



NaPaCo: optimized geometry, PBE.

Lattice parameters (Å, degrees): 6.4557 6.4557 6.4557 90.00 90.00 90.00
Closest atoms and distances in Å follow each position.
Space group F-43m (No. 216)
One atom of each set of equivalent atoms:
Na (0.0000, 0.0000, 0.0000)  4 Pa 2.80
Pa (0.2500, 0.2500, 0.7500)  4 Na 2.80, 4 Co 2.80
Co (0.0000, 0.0000, 0.5000)  4 Pa 2.80



NaCoSiPb: optimized geometry, PBE.

Lattice parameters (Å, degrees): 6.5272 6.5272 6.5272 90.00 90.00 90.00
Closest atoms and distances in Å follow each position.
Space group F-43m (No. 216)
One atom of each set of equivalent atoms:
Na (0.0000, 0.0000, 0.0000)  4 Si 2.83, 4 Pb 2.83
Co (0.0000, 0.0000, 0.5000)  4 Pb 2.83, 4 Si 2.83
Si (0.2500, 0.2500, 0.7500)  4 Na 2.83, 4 Co 2.83
Pb (0.2500, 0.2500, 0.2500)  4 Na 2.83, 4 Co 2.83



NaCoSiPb: optimized geometry, PBE.

Lattice parameters (Å, degrees): 6.7610 6.7610 6.7610 90.00 90.00 90.00
Closest atoms and distances in Å follow each position.
Space group F-43m (No. 216)
One atom of each set of equivalent atoms:
Na (0.0000, 0.0000, 0.0000)  4 Co 2.93, 4 Si 2.93
Co (0.2500, 0.2500, 0.2500)  4 Pb 2.93, 4 Na 2.93
Si (0.2500, 0.2500, 0.7500)  4 Pb 2.93, 4 Na 2.93
Pb (0.0000, 0.0000, 0.5000)  4 Si 2.93, 4 Co 2.93



NaCoSnPb: optimized geometry, PBE.

Lattice parameters (Å, degrees): 7.1150 7.1150 7.1150 90.00 90.00 90.00
Closest atoms and distances in Å follow each position.
Space group F-43m (No. 216)
One atom of each set of equivalent atoms:
Na (0.0000, 0.0000, 0.0000)  4 Sn 3.08, 4 Co 3.08
Co (0.2500, 0.2500, 0.2500)  4 Pb 3.08, 4 Na 3.08
Sn (0.2500, 0.2500, 0.7500)  4 Pb 3.08, 4 Na 3.08
Pb (0.0000, 0.0000, 0.5000)  4 Sn 3.08, 4 Co 3.08



NaCoSnPb: optimized geometry, PBE.

Lattice parameters (Å, degrees): 6.8525 6.8525 6.8525 90.00 90.00 90.00
Closest atoms and distances in Å follow each position.
Space group F-43m (No. 216)
One atom of each set of equivalent atoms:
Na (0.0000, 0.0000, 0.0000)  4 Sn 2.97, 4 Pb 2.97
Co (0.0000, 0.0000, 0.5000)  4 Pb 2.97, 4 Sn 2.97
Sn (0.2500, 0.2500, 0.7500)  4 Na 2.97, 4 Co 2.97
Pb (0.2500, 0.2500, 0.2500)  4 Na 2.97, 4 Co 2.97



no.,excess energy over the best structure of this formula in the dataset (eV per formula unit)
1,0.000
2,1.774
3,0.000
4,1.020
5,1.063
6,0.000